# CsRb3Cl, relaxed, DFT PBE
# E_form (uncorrected) in eV per formula unit: -0.17
data_CsRb3Cl
_chemical_formula_sum 'Cs1 Rb3 Cl1'
_symmetry_space_group_name_H-M 'P m -3 m'
_symmetry_Int_Tables_number 221
_symmetry_space_group_name_Hall '-P 4 2 3'
_cell_length_a 8.647
_cell_length_b 8.647
_cell_length_c 8.647
_cell_angle_alpha 90.00
_cell_angle_beta 90.00
_cell_angle_gamma 90.00
loop_
_atom_site_label
_atom_site_type_symbol
_atom_site_fract_x
_atom_site_fract_y
_atom_site_fract_z
_atom_site_occupancy
Cs1 Cs 0.000 0.000 0.000 1
Rb1 Rb 0.000 0.000 0.500 1
Cl1 Cl 0.500 0.500 0.500 1